First-principles (PBEsol) data for a geometry-optimized AlIrOs2 structure, as listed in Alexandria via LeMat-Bulk.

Lattice parameters (Å, degrees): 2.804 4.442 4.527 90.00 90.00 90.00
Positions (direct):
Al  0.500  0.000  0.500
Ir  0.000  0.500  0.500
Os  0.000  0.000  0.000
Os  0.500  0.500  0.000

Calculated values
VASP energy, eV/atom: -9.503
Density of states at the Fermi level, states/eV/cell: 4.8
Crystal system: orthorhombic
Calculated formation energy, eV per atom: 0.084